# SrCrSnSbO6, optimized geometry, DFT PBE+U
data_SrCrSnSbO6
_chemical_formula_sum 'Sr4 Cr4 Sn4 Sb4 O24'
_symmetry_space_group_name_H-M 'F -4 3 m'
_symmetry_Int_Tables_number 216
_symmetry_space_group_name_Hall 'F -4 2 3'
_cell_length_a 7.998
_cell_length_b 7.998
_cell_length_c 7.998
_cell_angle_alpha 90.00
_cell_angle_beta 90.00
_cell_angle_gamma 90.00
loop_
_atom_site_label
_atom_site_type_symbol
_atom_site_fract_x
_atom_site_fract_y
_atom_site_fract_z
Sr1 Sr 0.000 0.000 0.000
Cr1 Cr 0.250 0.250 0.750
Sn1 Sn 0.000 0.000 0.500
Sb1 Sb 0.250 0.250 0.250
O1 O 0.001 0.250 0.250
# Crystal system = cubic
# Magnetic moment = 3.0 μB per formula unit
# Mass density = 6.181 g/cm³
# DFT total energy = -6.480 eV per atom